--- w ---
NbVB (GGA-PBE, optimized geometry); DOS(E_F) = 2.42 states/eV/f.u.; total magnetic moment = 0.00 μB/f.u.; crystal system = orthorhombic; volume = 12.3 Å³/atom
1.0
3.278 0.000 0.000
0.000 9.001 0.000
0.000 0.000 5.015
Nb B V
4 4 4
Direct
0.000 0.700 0.250
0.000 0.300 0.750
0.500 0.200 0.250
0.500 0.800 0.750
0.000 0.395 0.250
0.000 0.605 0.750
0.500 0.895 0.250
0.500 0.105 0.750
0.000 0.000 0.000
0.000 0.000 0.500
0.500 0.500 0.000
0.500 0.500 0.500

=====

--- x ---
NbVB (GGA-PBE, optimized geometry); DOS(E_F) = 2.65 states/eV/f.u.; total magnetic moment = 0.00 μB/f.u.; crystal system = orthorhombic; volume = 12.4 Å³/atom
1.0
3.238 0.000 0.000
0.000 3.112 0.000
-1.619 0.000 7.357
Nb V B
2 2 2
Direct
0.590 0.750 0.180
0.410 0.250 0.820
0.796 0.750 0.592
0.204 0.250 0.408
0.966 0.750 0.933
0.034 0.250 0.067

=====

--- y ---
NbVB (GGA-PBE, optimized geometry); DOS(E_F) = 2.14 states/eV/f.u.; total magnetic moment = 0.00 μB/f.u.; crystal system = orthorhombic; volume = 13.4 Å³/atom
1.0
-2.273 2.024 -0.918
-2.113 -0.801 3.466
0.657 6.601 1.925
B Nb V
2 2 2
Direct
0.871 0.250 0.879
0.129 0.750 0.121
0.629 0.250 0.621
0.371 0.750 0.379
0.142 0.250 0.108
0.858 0.750 0.892

=====

Stability summary: most stable x, least stable y.

=====

--- w ---
NbVB (GGA-PBE, optimized geometry); DOS(E_F) = 1.51 states/eV/f.u.; total magnetic moment = 0.00 μB/f.u.; crystal system = orthorhombic; volume = 12.8 Å³/atom
1.0
3.322 0.000 0.000
0.000 3.228 0.000
0.000 0.000 14.365
Nb B V
4 4 4
Direct
0.500 0.000 0.670
0.500 0.500 0.170
0.000 0.000 0.322
0.000 0.500 0.822
0.000 0.000 0.142
0.000 0.500 0.642
0.500 0.000 0.826
0.500 0.500 0.326
0.500 0.000 0.974
0.500 0.500 0.474
0.000 0.000 0.525
0.000 0.500 0.025

=====

--- x ---
NbVB (GGA-PBE, optimized geometry); DOS(E_F) = 1.58 states/eV/f.u.; total magnetic moment = 0.00 μB/f.u.; crystal system = orthorhombic; volume = 12.3 Å³/atom
1.0
-0.467 3.093 -0.973
-5.295 0.260 3.368
5.571 3.512 8.489
Nb V B
6 6 6
Direct
0.000 0.233 0.953
0.000 0.767 0.047
0.000 0.233 0.547
0.000 0.767 0.453
0.000 0.141 0.250
0.000 0.859 0.750
0.500 0.427 0.125
0.500 0.573 0.875
0.500 0.427 0.375
0.500 0.573 0.625
0.500 0.798 0.250
0.500 0.202 0.750
0.500 0.051 0.084
0.500 0.949 0.916
0.500 0.051 0.416
0.500 0.949 0.584
0.000 0.551 0.250
0.000 0.449 0.750

=====

--- y ---
NbVB (GGA-PBE, optimized geometry); DOS(E_F) = 2.60 states/eV/f.u.; total magnetic moment = 0.00 μB/f.u.; crystal system = monoclinic; volume = 12.3 Å³/atom
1.0
-2.666 -5.410 -1.365
-0.282 -0.653 3.138
-4.502 7.601 1.178
Nb B V
4 4 4
Direct
0.335 0.000 0.084
0.665 0.000 0.916
0.335 0.500 0.584
0.665 0.500 0.416
0.350 0.000 0.383
0.650 0.000 0.617
0.350 0.500 0.883
0.650 0.500 0.117
0.081 0.000 0.689
0.919 0.000 0.311
0.081 0.500 0.189
0.919 0.500 0.811

=====

--- z ---
NbVB (GGA-PBE, optimized geometry); DOS(E_F) = 1.59 states/eV/f.u.; total magnetic moment = 0.00 μB/f.u.; crystal system = monoclinic; volume = 13.3 Å³/atom
1.0
5.607 0.000 0.004
0.000 3.237 0.000
-2.112 0.000 8.767
Nb B V
4 4 4
Direct
0.339 0.000 0.113
0.661 0.000 0.887
0.339 0.500 0.613
0.661 0.500 0.387
0.260 0.000 0.777
0.740 0.000 0.223
0.260 0.500 0.277
0.740 0.500 0.723
0.104 0.000 0.369
0.896 0.000 0.631
0.104 0.500 0.869
0.896 0.500 0.131

=====

Stability summary: most stable y, least stable z.

=====

--- w ---
NbBW (GGA-PBE, optimized geometry); DOS(E_F) = 4.31 states/eV/f.u.; total magnetic moment = 0.00 μB/f.u.; crystal system = cubic; volume = 17.2 Å³/atom
1.0
4.179 0.000 0.000
2.089 3.619 0.000
2.089 1.206 3.412
Nb B W
1 1 1
Direct
0.250 0.250 0.250
0.500 0.500 0.500
0.000 0.000 0.000

=====

--- x ---
NbBW (GGA-PBE, optimized geometry); DOS(E_F) = 0.94 states/eV/f.u.; total magnetic moment = 0.00 μB/f.u.; crystal system = monoclinic; volume = 14.0 Å³/atom
1.0
4.529 0.000 0.000
0.000 6.205 1.094
0.000 -1.894 5.651
W B Nb
4 4 4
Direct
0.250 0.397 0.127
0.750 0.103 0.873
0.750 0.603 0.873
0.250 0.897 0.127
0.250 0.116 0.876
0.750 0.384 0.124
0.750 0.884 0.124
0.250 0.616 0.876
0.250 0.832 0.608
0.750 0.668 0.392
0.750 0.168 0.392
0.250 0.332 0.608

=====

--- y ---
NbBW (GGA-PBE, optimized geometry); DOS(E_F) = 0.80 states/eV/f.u.; total magnetic moment = 0.00 μB/f.u.; crystal system = orthorhombic; volume = 13.1 Å³/atom
1.0
-2.995 0.601 1.198
0.473 -2.186 2.278
4.358 5.001 3.894
Nb B W
2 2 2
Direct
0.586 0.750 0.172
0.414 0.250 0.828
0.966 0.750 0.932
0.034 0.250 0.068
0.800 0.750 0.599
0.200 0.250 0.401

=====

Stability summary: most stable y, least stable w.